[1]
RbMgPCl2 | Alexandria via LeMat-Bulk | PBE | optimized geometry; symmetry = P4/mmm, No. 123; magnetization = 2.06 μB/f.u.; VASP energy = -10.7 eV/cell; E_form (uncorrected) = 189 meV/atom
1.0
6.015 0.000 0.000
0.000 6.015 0.000
0.000 0.000 6.153
P Mg Rb Cl
1 1 1 2
Cartesian
0.000 0.000 3.077
3.008 3.008 3.077
0.000 0.000 0.000
0.000 3.008 0.000
3.008 0.000 0.000



[2]
MnSnIrRuPt | Alexandria via LeMat-Bulk | PBE | optimized geometry; symmetry = P1, No. 1; ΔE_f = -0.08 eV per atom; magnetization = 2.25 μB/f.u.; VASP energy = -37.7 eV/cell
1.0
0.021 -4.502 -1.816
1.297 -2.370 4.046
-2.817 -2.299 1.450
Mn Sn Ir Ru Pt
1 1 1 1 1
Cartesian
-0.548 -6.299 2.229
0.051 -5.410 -0.487
-0.907 -4.568 4.259
-2.500 -4.953 0.579
-0.213 -3.698 1.717



[3]
Pr2Tm2Bi2C | Alexandria via LeMat-Bulk | PBE | optimized geometry; symmetry = I4/mmm, No. 139; ΔE_f = -0.72 eV per atom; magnetization = 0.00 μB/f.u.; VASP energy = -40.5 eV/cell
1.0
-3.826 1.626 2.402
0.785 -3.246 3.449
6.373 6.269 1.108
Pr Tm Bi C
2 2 2 1
Cartesian
1.561 1.757 1.298
1.771 2.892 5.661
0.393 -1.623 1.724
-1.913 0.813 1.201
3.527 3.967 2.931
-0.194 0.682 4.027
0.000 0.000 0.000



[4]
SrAc6Pm2 | Alexandria via LeMat-Bulk | PBE | optimized geometry; symmetry = P-31m, No. 162; ΔE_f = 0.47 eV per atom; magnetization = 0.00 μB/f.u.; VASP energy = -31.6 eV/cell
1.0
6.671 0.000 0.000
-3.336 5.778 0.000
0.000 0.000 12.409
Sr Ac Pm
1 6 2
Cartesian
0.000 0.000 0.000
1.103 1.911 9.073
4.464 0.000 9.073
-2.232 3.866 9.073
2.207 0.000 3.336
-1.103 1.911 3.336
2.232 3.866 3.336
3.336 1.926 6.205
0.000 3.852 6.205